# LiNbAlRh

A relaxed structure of LiNbAlRh (GGA-PBE, Alexandria via LeMat-Bulk).

Calculated values
- Total DFT energy (no corrections): -6.326 eV per atom
- Energy relative to the elements: -0.557 eV per atom
- V: 14.6 Å³ per atom
- SG: F-43m, No. 216

```
4
Lattice="-1.3610 3.0322 2.8180 -3.8552 1.9448 -0.5856 -3.3087 -0.8640 2.7007" Properties=species:S:1:pos:R:3 pbc="T T T"
Al 0.0000 0.0000 0.0000
Nb -4.2624 2.0565 2.4666
Rh -6.3937 3.0847 3.6999
Li -2.1312 1.0282 1.2333
```



# TaFePt2

A relaxed structure of TaFePt2 (GGA-PBE, Alexandria via LeMat-Bulk).

Calculated values
- Total DFT energy (no corrections): -8.607 eV per atom
- Energy relative to the elements: -0.508 eV per atom
- V: 14.8 Å³ per atom
- SG: P4/mmm, No. 123
- ΔE to the lowest computed polymorph: 0.067 eV per atom

```
4
Lattice="-0.9584 1.0491 3.7454 -2.4915 -2.9255 0.1819 2.7829 -2.2859 1.3524" Properties=species:S:1:pos:R:3 pbc="T T T"
Ta -1.7249 -0.9382 1.9636
Fe 0.9123 -0.6184 2.5489
Pt 0.0000 0.0000 0.0000
Pt 0.1457 -2.6057 0.7672
```



# Ba2ZnAgH

A relaxed structure of Ba2ZnAgH (GGA-PBE, Alexandria via LeMat-Bulk).

Calculated values
- Total DFT energy (no corrections): -2.458 eV per atom
- V: 27.2 Å³ per atom
- SG: P4/mmm, No. 123
- ΔE to the lowest computed polymorph: 0.004 eV per atom

```
5
Lattice="-4.0834 -1.5232 -3.5507 1.7095 -5.3453 0.3271 -2.6536 -0.6450 3.3284" Properties=species:S:1:pos:R:3 pbc="T T T"
Ba -2.0417 -0.7616 -1.7754
Ag -2.5138 -3.7568 0.0524
Zn -1.3268 -0.3225 1.6642
Ba 0.8548 -2.6727 0.1636
H 0.0000 0.0000 0.0000
```



# Ac2HgRh

A relaxed structure of Ac2HgRh (GGA-PBE, Alexandria via LeMat-Bulk).

Calculated values
- Total DFT energy (no corrections): -4.482 eV per atom
- Energy relative to the elements: -0.514 eV per atom
- V: 29.4 Å³ per atom
- SG: P4/mmm, No. 123
- ΔE to the lowest computed polymorph: 0.096 eV per atom

```
4
Lattice="3.8091 0.0000 0.0000 0.0000 3.8091 0.0000 0.0000 0.0000 8.0933" Properties=species:S:1:pos:R:3 pbc="T T T"
Rh 1.9046 1.9046 0.0000
Ac 0.0000 0.0000 1.7852
Ac 0.0000 0.0000 6.3081
Hg 1.9046 1.9046 4.0466
```



# CaHo2NpO8

A relaxed structure of CaHo2NpO8 (GGA-PBE, Alexandria via LeMat-Bulk).

Calculated values
- Total DFT energy (no corrections): -8.231 eV per atom
- Uncorrected formation energy: -2.9171 eV/atom
- V: 12.9 Å³ per atom
- SG: P2/m, No. 10

```
12
Lattice="3.9467 -0.1279 -0.0022 -0.0923 5.2259 -0.0056 0.0045 0.0080 7.5350" Properties=species:S:1:pos:R:3 pbc="T T T"
O 0.0098 3.9606 5.9218
O 3.8518 1.1502 5.9226
O 3.8491 1.1454 1.6054
O 1.8392 1.1486 -0.0023
Ca 0.0023 0.0040 3.7675
O 1.9061 3.7678 3.7623
O 2.0197 3.9575 7.5295
O 1.9528 1.3383 3.7649
O 0.0071 3.9559 1.6046
Ho 1.9283 2.5510 1.8410
Ho 1.9306 2.5551 5.6862
Np 0.0000 0.0000 0.0000
```



# V3FeSe

A relaxed structure of V3FeSe (GGA-PBE, Alexandria via LeMat-Bulk).

Calculated values
- Total DFT energy (no corrections): -6.976 eV per atom
- Uncorrected formation energy: 0.8843 eV/atom
- V: 17.8 Å³ per atom
- SG: Pm-3m, No. 221
- ΔE to the lowest computed polymorph: 0.236 eV per atom

```
5
Lattice="4.4611 0.0000 0.0000 0.0000 4.4611 0.0000 0.0000 0.0000 4.4611" Properties=species:S:1:pos:R:3 pbc="T T T"
Fe 2.2306 2.2306 2.2306
V 0.0000 2.2306 0.0000
Se 0.0000 0.0000 0.0000
V 0.0000 0.0000 2.2306
V 2.2306 0.0000 0.0000
```



# Tl2CuBiCl

A relaxed structure of Tl2CuBiCl (GGA-PBE, Alexandria via LeMat-Bulk).

Calculated values
- Total DFT energy (no corrections): -2.841 eV per atom
- Uncorrected formation energy: 0.0704 eV/atom
- V: 40.3 Å³ per atom
- SG: P4/mmm, No. 123

```
5
Lattice="6.3912 0.0000 0.0000 0.0000 4.9333 0.0000 0.0000 0.0000 6.3912" Properties=species:S:1:pos:R:3 pbc="T T T"
Cl 3.1956 2.4666 3.1956
Bi 0.0000 0.0000 0.0000
Tl 3.1956 0.0000 0.0000
Cu 0.0000 2.4666 0.0000
Tl 0.0000 0.0000 3.1956
```



# BaNaBeIn2

A relaxed structure of BaNaBeIn2 (GGA-PBE, Alexandria via LeMat-Bulk).

Calculated values
- Total DFT energy (no corrections): -1.676 eV per atom
- Energy relative to the elements: 0.813 eV per atom
- V: 36.4 Å³ per atom
- SG: P4/mmm, No. 123

```
5
Lattice="-4.0927 2.4440 2.7074 0.7624 -3.8376 4.6168 3.5813 3.4634 2.2874" Properties=species:S:1:pos:R:3 pbc="T T T"
In -2.0464 1.2220 1.3537
Ba 0.3812 -1.9188 2.3084
Na 0.0000 0.0000 0.0000
In 1.7907 1.7317 1.1437
Be 0.1255 1.0349 4.8058
```



# CaAc5Pb4

A relaxed structure of CaAc5Pb4 (GGA-PBE, Alexandria via LeMat-Bulk).

Calculated values
- Total DFT energy (no corrections): -3.950 eV per atom
- Energy relative to the elements: -0.213 eV per atom
- V: 42.8 Å³ per atom
- SG: C2/m, No. 12

```
10
Lattice="-0.3514 -3.3978 -2.1873 -4.1875 -4.8674 8.2338 -7.7904 6.0274 -4.3504" Properties=species:S:1:pos:R:3 pbc="T T T"
Pb -1.0778 -1.1736 1.9962
Pb -11.2516 -1.0642 -0.3002
Ac -6.2363 0.3839 -3.3553
Ac -4.1912 -0.2642 1.0838
Pb -3.2497 -0.7154 -2.1275
Pb -9.0796 -1.5224 3.8236
Ac -2.2695 -4.1326 3.0232
Ac -8.1381 -1.9736 0.6123
Ca -0.1757 -1.6989 -1.0937
Ac -6.0930 -2.6217 5.0514
```



# GdY2C

A relaxed structure of GdY2C (GGA-PBE, Alexandria via LeMat-Bulk).

Calculated values
- Total DFT energy (no corrections): -9.148 eV per atom
- Energy relative to the elements: -0.090 eV per atom
- V: 26.4 Å³ per atom
- SG: R-3m, No. 166

```
4
Lattice="-1.2709 -1.4202 -2.9986 1.3377 -3.0551 -1.2249 -6.5473 -6.4208 3.7111" Properties=species:S:1:pos:R:3 pbc="T T T"
C -3.2403 -5.4480 -0.2562
Y -2.2993 -6.2505 -2.3799
Y -4.1813 -4.6456 1.8675
Gd 0.0000 0.0000 0.0000
```